[1]
# KLa2As | the Alexandria database | GGA-PBEsol | relaxed
data_KLa2As
_cell_length_a 6.814
_cell_length_b 10.742
_cell_length_c 3.536
_cell_angle_alpha 90.00
_cell_angle_beta 116.52
_cell_angle_gamma 90.00
_space_group_name_H-M_alt 'C 1 2/m 1'
_space_group_IT_number 12
_space_group_name_Hall '-C 2y'
loop_
_atom_site_label
_atom_site_fract_x
_atom_site_fract_y
_atom_site_fract_z
K1 0.000 0.000 0.000
La1 0.250 0.250 0.500
As1 0.000 0.500 0.000
# energy of formation from the pure elements: -0.07 eV per atom


[2]
# K2LaAs | the Alexandria database | GGA-PBEsol | relaxed
data_K2LaAs
_cell_length_a 6.206
_cell_length_b 6.671
_cell_length_c 6.533
_cell_angle_alpha 90.00
_cell_angle_beta 90.00
_cell_angle_gamma 90.00
_space_group_name_H-M_alt 'C m m m'
_space_group_IT_number 65
_space_group_name_Hall '-C 2 2'
loop_
_atom_site_label
_atom_site_fract_x
_atom_site_fract_y
_atom_site_fract_z
K1 0.000 0.216 0.000
La1 0.000 0.500 0.500
As1 0.000 0.000 0.500
# energy of formation from the pure elements: -0.16 eV per atom


[3]
# KLaAs4 | the Alexandria database | GGA-PBEsol | relaxed
data_KLaAs4
_cell_length_a 8.135
_cell_length_b 8.135
_cell_length_c 8.135
_cell_angle_alpha 90.00
_cell_angle_beta 90.00
_cell_angle_gamma 90.00
_space_group_name_H-M_alt 'F -4 3 m'
_space_group_IT_number 216
_space_group_name_Hall 'F -4 2 3'
loop_
_atom_site_label
_atom_site_fract_x
_atom_site_fract_y
_atom_site_fract_z
K1 0.000 0.000 0.000
La1 0.250 0.250 0.750
As1 0.125 0.125 0.375
# energy of formation from the pure elements: -0.44 eV per atom


[4]
# KLa2As | the Alexandria database | GGA-PBEsol | relaxed
data_KLa2As
_cell_length_a 3.906
_cell_length_b 3.997
_cell_length_c 21.297
_cell_angle_alpha 90.00
_cell_angle_beta 90.00
_cell_angle_gamma 90.00
_space_group_name_H-M_alt 'I m m 2'
_space_group_IT_number 44
_space_group_name_Hall 'I 2 -2'
loop_
_atom_site_label
_atom_site_fract_x
_atom_site_fract_y
_atom_site_fract_z
K1 0.000 0.000 0.000
La1 0.000 0.000 0.666
La2 0.000 0.500 0.819
As1 0.000 0.500 0.270
# energy of formation from the pure elements: -0.41 eV per atom


[5]
# KLa2As | the Alexandria database | GGA-PBEsol | relaxed
data_KLa2As
_cell_length_a 3.739
_cell_length_b 3.739
_cell_length_c 10.688
_cell_angle_alpha 90.00
_cell_angle_beta 90.19
_cell_angle_gamma 90.00
_space_group_name_H-M_alt 'P 1 2/m 1'
_space_group_IT_number 10
_space_group_name_Hall '-P 2y'
loop_
_atom_site_label
_atom_site_fract_x
_atom_site_fract_y
_atom_site_fract_z
K1 0.000 0.000 0.000
La1 0.498 0.500 0.652
As1 0.000 0.000 0.500
# energy of formation from the pure elements: -0.45 eV per atom


[6]
# K3LaAs2O8 | the Alexandria database | GGA-PBEsol | relaxed
data_K3LaAs2O8
_cell_length_a 7.621
_cell_length_b 5.882
_cell_length_c 9.924
_cell_angle_alpha 90.00
_cell_angle_beta 91.49
_cell_angle_gamma 90.00
_space_group_name_H-M_alt 'P 1 21 1'
_space_group_IT_number 4
_space_group_name_Hall 'P 2yb'
loop_
_atom_site_label
_atom_site_fract_x
_atom_site_fract_y
_atom_site_fract_z
K1 0.009 0.000 0.193
K2 0.143 0.514 0.408
K3 0.306 0.987 0.917
La1 0.490 0.483 0.709
As1 0.257 0.486 0.084
As2 0.303 0.016 0.573
O1 0.037 0.471 0.099
O2 0.210 0.990 0.415
O3 0.221 0.249 0.655
O4 0.266 0.778 0.667
O5 0.319 0.481 0.919
O6 0.335 0.733 0.156
O7 0.353 0.259 0.166
O8 0.480 0.582 0.451
# raw formation energy: -195.9 kJ/mol of atoms


[7]
# KLaAsOs2 | the Alexandria database | GGA-PBEsol | relaxed
data_KLaAsOs2
_cell_length_a 4.947
_cell_length_b 4.947
_cell_length_c 5.661
_cell_angle_alpha 90.00
_cell_angle_beta 90.00
_cell_angle_gamma 90.00
_space_group_name_H-M_alt 'P 4/m m m'
_space_group_IT_number 123
_space_group_name_Hall '-P 4 2'
loop_
_atom_site_label
_atom_site_fract_x
_atom_site_fract_y
_atom_site_fract_z
K1 0.000 0.000 0.000
La1 0.500 0.500 0.500
As1 0.500 0.500 0.000
Os1 0.000 0.500 0.500
# energy of formation from the pure elements: 1.94 eV per atom


[8]
# K2LiAs | the Alexandria database | GGA-PBEsol | relaxed
data_K2LiAs
_cell_length_a 4.735
_cell_length_b 4.735
_cell_length_c 5.043
_cell_angle_alpha 90.00
_cell_angle_beta 90.00
_cell_angle_gamma 90.00
_space_group_name_H-M_alt 'P 4/m m m'
_space_group_IT_number 123
_space_group_name_Hall '-P 4 2'
loop_
_atom_site_label
_atom_site_fract_x
_atom_site_fract_y
_atom_site_fract_z
K1 0.000 0.500 0.000
Li1 0.000 0.000 0.500
As1 0.500 0.500 0.500
# energy of formation from the pure elements: -0.09 eV per atom


[9]
# K2LiAs | the Alexandria database | GGA-PBEsol | relaxed
data_K2LiAs
_cell_length_a 3.548
_cell_length_b 3.548
_cell_length_c 10.768
_cell_angle_alpha 90.00
_cell_angle_beta 90.00
_cell_angle_gamma 90.00
_space_group_name_H-M_alt 'P 4/m m m'
_space_group_IT_number 123
_space_group_name_Hall '-P 4 2'
loop_
_atom_site_label
_atom_site_fract_x
_atom_site_fract_y
_atom_site_fract_z
K1 0.000 0.000 0.196
Li1 0.500 0.500 0.500
As1 0.500 0.500 0.000
# energy of formation from the pure elements: 0.00 eV per atom


[10]
# KLiAs2 | the Alexandria database | GGA-PBEsol | relaxed
data_KLiAs2
_cell_length_a 5.977
_cell_length_b 9.453
_cell_length_c 2.915
_cell_angle_alpha 90.00
_cell_angle_beta 90.00
_cell_angle_gamma 90.00
_space_group_name_H-M_alt 'C m m m'
_space_group_IT_number 65
_space_group_name_Hall '-C 2 2'
loop_
_atom_site_label
_atom_site_fract_x
_atom_site_fract_y
_atom_site_fract_z
K1 0.000 0.000 0.000
Li1 0.000 0.500 0.000
As1 0.250 0.250 0.500
# offset from the most stable computed form: 0.254 eV/atom
# energy of formation from the pure elements: -0.17 eV per atom


[11]
# K2LiAs | the Alexandria database | GGA-PBEsol | relaxed
data_K2LiAs
_cell_length_a 4.8282
_cell_length_b 4.8282
_cell_length_c 17.8787
_cell_angle_alpha 90.00
_cell_angle_beta 90.00
_cell_angle_gamma 120.00
_space_group_name_H-M_alt 'R 3 m'
_space_group_IT_number 160
_space_group_name_Hall 'R 3 -2"'
loop_
_atom_site_label
_atom_site_fract_x
_atom_site_fract_y
_atom_site_fract_z
K1 0.0000 0.0000 0.0000
K2 0.0000 0.0000 0.1994
Li1 0.0000 0.0000 0.7636
As1 0.0000 0.0000 0.4314
# energy of formation from the pure elements: -0.39 eV per atom


[12]
# KLiAs3 | the Alexandria database | GGA-PBEsol | relaxed
data_KLiAs3
_cell_length_a 5.394
_cell_length_b 5.394
_cell_length_c 5.394
_cell_angle_alpha 90.00
_cell_angle_beta 90.00
_cell_angle_gamma 90.00
_space_group_name_H-M_alt 'P m -3 m'
_space_group_IT_number 221
_space_group_name_Hall '-P 4 2 3'
loop_
_atom_site_label
_atom_site_fract_x
_atom_site_fract_y
_atom_site_fract_z
K1 0.000 0.000 0.000
Li1 0.500 0.500 0.500
As1 0.000 0.000 0.500
# energy of formation from the pure elements: 1.27 eV per atom


Number 1: M_tot 0.00 μB/cell. Number 2: M_tot 0.00 μB/cell. Number 3: M_tot 0.00 μB/cell. Number 4: M_tot 0.02 μB/cell. Number 5: M_tot 0.91 μB/cell. Number 6: M_tot 0.00 μB/cell. Number 7: M_tot 1.43 μB/cell. Number 8: M_tot 0.00 μB/cell. Number 9: M_tot 0.00 μB/cell. Number 10: M_tot 0.00 μB/cell. Number 11: M_tot 0.00 μB/cell. Number 12: M_tot 0.00 μB/cell.